Material: PmSi3Pt
Method: DFT, PBE
State: optimized geometry

a b c (Å): 11.030 11.030 4.177
angles (deg): 90.00 90.00 158.33
Element x y z (fractional)
Pm 0.170 0.830 0.000
Pm 0.830 0.170 0.000
Si 0.054 0.946 0.500
Si 0.279 0.721 0.500
Si 0.446 0.554 0.000
Si 0.554 0.446 0.000
Si 0.721 0.279 0.500
Si 0.946 0.054 0.500
Pt 0.390 0.610 0.500
Pt 0.610 0.390 0.500

**Excess energy over the best structure of this formula in the dataset**: 0.0 meV/atom
**Energy relative to the elements, uncorrected**: -0.7633 eV per atom

***

Material: Sm2Dy5YTm
Method: DFT, PBE
State: optimized geometry

a b c (Å): 9.920 9.920 9.920
angles (deg): 128.57 128.57 75.71
Element x y z (fractional)
Sm 0.118 0.618 0.735
Sm 0.382 0.118 0.500
Sm 0.618 0.882 0.500
Sm 0.882 0.382 0.265
Dy 0.000 0.000 0.000
Dy 0.072 0.149 0.500
Dy 0.149 0.649 0.077
Dy 0.351 0.428 0.500
Dy 0.428 0.928 0.077
Dy 0.500 0.500 0.000
Dy 0.572 0.072 0.923
Dy 0.649 0.572 0.500
Dy 0.851 0.351 0.923
Dy 0.928 0.851 0.500
Y 0.250 0.250 0.000
Y 0.750 0.750 0.000
Tm 0.250 0.750 0.500
Tm 0.750 0.250 0.500

**ΔH_f (0 K)**: 0.28 eV per atom

***

Material: BaIrOs2
Method: DFT, PBE
State: optimized geometry

a b c (Å): 2.842 3.784 7.557
angles (deg): 90.00 90.00 90.00
Element x y z (fractional)
Ba 0.000 0.000 0.000
Ir 0.000 0.000 0.500
Os 0.500 0.500 0.331
Os 0.500 0.500 0.669

**ΔH_f (0 K)**: 0.79 eV per atom
**Excess energy over the best structure of this formula in the dataset**: 505.5 meV/atom

***

Material: TlOsRu2
Method: DFT, PBE
State: optimized geometry

a b c (Å): 9.297 2.866 4.920
angles (deg): 90.00 100.63 90.00
Element x y z (fractional)
Tl 0.000 0.000 0.000
Tl 0.500 0.500 0.000
Os 0.265 0.500 0.311
Os 0.765 0.000 0.311
Ru 0.001 0.500 0.494
Ru 0.239 0.000 0.745
Ru 0.501 0.000 0.494
Ru 0.739 0.500 0.745

**ΔH_f (0 K)**: 0.60 eV per atom
**Excess energy over the best structure of this formula in the dataset**: 192.6 meV/atom